--- A ---
Density functional theory data (PBE) for PmNd2Si after structural relaxation.

abc: 3.7315 3.7315 11.2764
angles: 80.48 80.48 60.00
Last column: magnetic moment on the atom in μB.
Atoms (fractional coordinates):
Si1 0.5000 0.5000 0.5000  0.01
Nd1 0.1082 0.1082 0.6753  -0.02
Nd2 0.8918 0.8918 0.3247  -0.02
Pm1 0.0000 0.0000 0.0000  -0.14

Values from the calculation:
The calculated density is 5.74 g/cm3. Its total magnetic moment is 0.4 μB per cell.



--- B ---
Density functional theory data (PBE) for PmNd2Si after structural relaxation.

abc: 6.4460 7.9128 9.3923
angles: 90.00 90.00 90.00
Atoms (fractional coordinates):
Pm1 0.6316 0.5310 0.2500
Pm2 0.3684 0.4690 0.7500
Pm3 0.1316 0.9690 0.7500
Pm4 0.8684 0.0310 0.2500
Nd1 0.6319 0.8147 0.5551
Nd2 0.3681 0.1853 0.4449
Nd3 0.1319 0.6853 0.4449
Nd4 0.1319 0.6853 0.0551
Nd5 0.6319 0.8147 0.9449
Nd6 0.3681 0.1853 0.0551
Nd7 0.8681 0.3147 0.9449
Nd8 0.8681 0.3147 0.5551
Si1 0.0668 0.3792 0.2500
Si2 0.9332 0.6208 0.7500
Si3 0.4332 0.8792 0.2500
Si4 0.5668 0.1208 0.7500

Values from the calculation:
The calculated density is 6.40 g/cm3. Its total magnetic moment is 0.0 μB per cell.



Need the numbers? Relative energies in meV per atom: A 394; B 0.



--- A ---
Density functional theory data (PBE) for Pm7Nd4Sm after structural relaxation.

abc: 6.0947 11.8850 6.8254
angles: 83.55 63.48 75.14
Atoms (fractional coordinates):
Pm1 0.7890 0.9216 0.5004
Pm2 0.0642 0.6789 0.1926
Pm3 0.9358 0.3211 0.8074
Pm4 0.3696 0.4993 0.7615
Pm5 0.5000 0.0000 0.0000
Pm6 0.6304 0.5007 0.2385
Pm7 0.2110 0.0784 0.4996
Nd1 0.3610 0.7771 0.5008
Nd2 0.6390 0.2229 0.4992
Nd3 0.7629 0.6751 0.7990
Nd4 0.2371 0.3249 0.2010
Sm1 0.0000 0.0000 0.0000

Values from the calculation:
The calculated density is 6.77 g/cm3. Its total magnetic moment is 0.0 μB per cell.



--- B ---
Density functional theory data (PBE) for Pm7Nd4Sm after structural relaxation.

abc: 7.3629 9.7388 9.1361
angles: 81.19 90.06 40.97
Atoms (fractional coordinates):
Pm1 0.2507 0.5001 0.0002
Pm2 0.9703 0.2789 0.6688
Pm3 0.7796 0.2204 0.3316
Pm4 0.7493 0.4999 0.9998
Pm5 0.0297 0.7211 0.3312
Pm6 0.5000 0.0000 0.0000
Pm7 0.2204 0.7796 0.6684
Nd1 0.7213 0.7786 0.6683
Nd2 0.2787 0.2214 0.3317
Nd3 0.4715 0.2793 0.6683
Nd4 0.5285 0.7207 0.3317
Sm1 0.0000 0.0000 0.0000

Values from the calculation:
The calculated density is 6.93 g/cm3. Its total magnetic moment is 0.0 μB per cell.



Need the numbers? Relative energies in meV per atom: A 221; B 0.



--- A ---
Density functional theory data (PBE) for Pm7Nd3Sm after structural relaxation.

abc: 6.5048 7.8408 7.8399
angles: 81.66 86.04 86.04
Atoms (fractional coordinates):
Pm1 0.7388 0.9186 0.5728
Pm2 0.2612 0.4272 0.0814
Pm3 0.0000 0.5000 0.5000
Pm4 0.7873 0.2384 0.2384
Pm5 0.2127 0.7616 0.7616
Pm6 0.7388 0.5728 0.9186
Pm7 0.2612 0.0814 0.4272
Nd1 0.5000 0.0000 0.0000
Nd2 0.0000 0.8273 0.1727
Nd3 0.0000 0.1727 0.8273
Sm1 0.5000 0.5000 0.5000

Values from the calculation:
The calculated density is 6.74 g/cm3. Its total magnetic moment is 0.0 μB per cell.



--- B ---
Density functional theory data (PBE) for Pm7Nd3Sm after structural relaxation.

abc: 8.8064 7.2431 7.2431
angles: 120.00 90.00 90.00
Atoms (fractional coordinates):
Sm1 0.4434 0.3333 0.6667
Pm1 0.4505 0.3343 0.1671
Pm2 0.1161 0.1672 0.8328
Pm3 0.1161 0.1672 0.3344
Pm4 0.1230 0.6667 0.3333
Pm5 0.4505 0.8329 0.6657
Pm6 0.4505 0.8329 0.1671
Pm7 0.1161 0.6656 0.8328
Nd1 0.7830 0.4999 0.9999
Nd2 0.7830 0.0001 0.5001
Nd3 0.7830 0.4999 0.5001

Values from the calculation:
The calculated density is 6.63 g/cm3. Its total magnetic moment is 0.0 μB per cell.



Need the numbers? Relative energies in meV per atom: A 48; B 0.



--- A ---
Density functional theory data (PBE) for Pm2Nd4Sm5 after structural relaxation.

abc: 3.5111 8.9589 12.3265
angles: 96.67 98.19 90.00
Atoms (fractional coordinates):
Nd1 0.6784 0.4705 0.3568
Nd2 0.0459 0.3602 0.0918
Nd3 0.3216 0.5295 0.6432
Nd4 0.9541 0.6398 0.9082
Sm1 0.1413 0.1148 0.2827
Sm2 0.8587 0.8852 0.7173
Sm3 0.2313 0.8261 0.4626
Sm4 0.7687 0.1739 0.5374
Sm5 0.5000 0.0000 0.0000
Pm1 0.0901 0.7349 0.1802
Pm2 0.9099 0.2651 0.8198

Values from the calculation:
The calculated density is 7.05 g/cm3. Its total magnetic moment is 0.0 μB per cell.



--- B ---
Density functional theory data (PBE) for Pm2Nd4Sm5 after structural relaxation.

abc: 3.5568 9.3931 12.7518
angles: 111.61 98.02 90.00
Atoms (fractional coordinates):
Sm1 0.8533 0.6551 0.7065
Sm2 0.1467 0.9486 0.2935
Sm3 0.8533 0.0514 0.7065
Sm4 0.5000 0.0000 0.0000
Sm5 0.1467 0.3449 0.2935
Nd1 0.0000 0.2981 0.0000
Nd2 0.5959 0.5959 0.1919
Nd3 0.0000 0.7019 0.0000
Nd4 0.4041 0.4041 0.8081
Pm1 0.2696 0.2696 0.5391
Pm2 0.7304 0.7304 0.4609

Values from the calculation:
The calculated density is 6.86 g/cm3. Its total magnetic moment is 0.0 μB per cell.



Need the numbers? Relative energies in meV per atom: A 0; B 89.



--- A ---
Density functional theory data (PBE) for Pm4Nd2Sm5 after structural relaxation.

abc: 3.5048 8.9416 12.3129
angles: 96.60 98.18 90.00
Atoms (fractional coordinates):
Nd1 0.0904 0.7348 0.1808
Nd2 0.9096 0.2652 0.8192
Sm1 0.7683 0.1744 0.5366
Sm2 0.8587 0.8832 0.7174
Sm3 0.1413 0.1168 0.2826
Sm4 0.5000 0.0000 0.0000
Sm5 0.2317 0.8256 0.4634
Pm1 0.9540 0.6395 0.9079
Pm2 0.6783 0.4708 0.3566
Pm3 0.3217 0.5292 0.6434
Pm4 0.0460 0.3604 0.0921

Values from the calculation:
The calculated density is 7.09 g/cm3. Its total magnetic moment is 0.0 μB per cell.



--- B ---
Density functional theory data (PBE) for Pm4Nd2Sm5 after structural relaxation.

abc: 3.5562 9.3382 12.7712
angles: 111.44 98.00 90.00
Atoms (fractional coordinates):
Pm1 0.0000 0.6988 0.0000
Pm2 0.5962 0.5962 0.1924
Pm3 0.4038 0.4038 0.8076
Pm4 0.0000 0.3012 0.0000
Sm1 0.8547 0.6577 0.7095
Sm2 0.5000 0.0000 0.0000
Sm3 0.1453 0.9482 0.2905
Sm4 0.1453 0.3423 0.2905
Sm5 0.8547 0.0518 0.7095
Nd1 0.7308 0.7308 0.4617
Nd2 0.2692 0.2692 0.5383

Values from the calculation:
The calculated density is 6.89 g/cm3. Its total magnetic moment is 0.0 μB per cell.



Need the numbers? Relative energies in meV per atom: A 0; B 78.



--- A ---
Density functional theory data (PBE) for Pm2NdSm8 after structural relaxation.

abc: 5.1413 8.1399 9.6120
angles: 104.71 105.51 90.00
Atoms (fractional coordinates):
Sm1 0.0453 0.7269 0.0907
Sm2 0.5909 0.4552 0.1818
Sm3 0.4091 0.5448 0.8182
Sm4 0.9547 0.2731 0.9093
Sm5 0.3181 0.0913 0.6361
Sm6 0.1365 0.1819 0.2731
Sm7 0.8635 0.8181 0.7269
Sm8 0.6819 0.9087 0.3639
Nd1 0.5000 0.0000 0.0000
Pm1 0.7726 0.3635 0.5453
Pm2 0.2274 0.6365 0.4547

Values from the calculation:
The calculated density is 7.27 g/cm3. Its total magnetic moment is 0.0 μB per cell.



--- B ---
Density functional theory data (PBE) for Pm2NdSm8 after structural relaxation.

abc: 6.7753 10.4302 10.4302
angles: 37.99 59.31 59.31
Atoms (fractional coordinates):
Sm1 0.2306 0.3522 0.8259
Sm2 0.8220 0.2443 0.2443
Sm3 0.1780 0.7557 0.7557
Sm4 0.2697 0.4108 0.4108
Sm5 0.2306 0.8259 0.3522
Sm6 0.7694 0.6478 0.1741
Sm7 0.7694 0.1741 0.6478
Sm8 0.7303 0.5892 0.5892
Pm1 0.3988 0.2021 0.2021
Pm2 0.6012 0.7979 0.7979
Nd1 0.0000 0.0000 0.0000

Values from the calculation:
The calculated density is 7.12 g/cm3. Its total magnetic moment is 0.0 μB per cell.



Need the numbers? Relative energies in meV per atom: A 0; B 142.